# BaLa2Se (PBE-GGA, optimized geometry)
data_BaLa2Se
_cell_length_a 4.3476
_cell_length_b 6.5470
_cell_length_c 10.8790
_cell_angle_alpha 90.00
_cell_angle_beta 90.00
_cell_angle_gamma 90.00
_symmetry_space_group_name_H-M 'C m m m'
_symmetry_Int_Tables_number 65
_symmetry_space_group_name_Hall '-C 2 2'
loop_
_atom_site_label
_atom_site_fract_x
_atom_site_fract_y
_atom_site_fract_z
Ba1 0.0000 0.0000 0.0000
La1 0.0000 0.5000 0.3117
Se1 0.0000 0.0000 0.5000
# Fermi-level density of states	1.055	states/eV per atom
# energy	-4.47	eV per atom

# AcSmEuSc (PBE-GGA, optimized geometry)
data_AcSmEuSc
_cell_length_a 8.2538
_cell_length_b 8.2538
_cell_length_c 8.2538
_cell_angle_alpha 90.00
_cell_angle_beta 90.00
_cell_angle_gamma 90.00
_symmetry_space_group_name_H-M 'F -4 3 m'
_symmetry_Int_Tables_number 216
_symmetry_space_group_name_Hall 'F -4 2 3'
loop_
_atom_site_label
_atom_site_fract_x
_atom_site_fract_y
_atom_site_fract_z
Ac1 0.0000 0.0000 0.0000
Sm1 0.0000 0.0000 0.5000
Eu1 0.2500 0.2500 0.7500
Sc1 0.2500 0.2500 0.2500
# energy of formation from the pure elements	150	meV/atom
# Fermi-level density of states	1.582	states/eV per atom

# ErBe4Os (PBE-GGA, optimized geometry)
data_ErBe4Os
_cell_length_a 6.5769
_cell_length_b 6.5769
_cell_length_c 6.5769
_cell_angle_alpha 90.00
_cell_angle_beta 90.00
_cell_angle_gamma 90.00
_symmetry_space_group_name_H-M 'F -4 3 m'
_symmetry_Int_Tables_number 216
_symmetry_space_group_name_Hall 'F -4 2 3'
loop_
_atom_site_label
_atom_site_fract_x
_atom_site_fract_y
_atom_site_fract_z
Er1 0.0000 0.0000 0.0000
Be1 0.1216 0.1216 0.6216
Os1 0.2500 0.2500 0.2500
# energy of formation from the pure elements	-178	meV/atom
# Fermi-level density of states	0.953	states/eV per atom

# ScRh2F (PBE-GGA, optimized geometry)
data_ScRh2F
_cell_length_a 3.5260
_cell_length_b 3.5260
_cell_length_c 20.2670
_cell_angle_alpha 90.00
_cell_angle_beta 90.00
_cell_angle_gamma 90.00
_symmetry_space_group_name_H-M 'I -4 2 d'
_symmetry_Int_Tables_number 122
_symmetry_space_group_name_Hall 'I -4 2bw'
loop_
_atom_site_label
_atom_site_fract_x
_atom_site_fract_y
_atom_site_fract_z
Sc1 0.0000 0.0000 0.0000
Rh1 0.2497 0.2500 0.1250
F1 0.0000 0.0000 0.5000
# Fermi-level density of states	1.397	states/eV per atom
# energy	-6.52	eV per atom

# Os3Se (PBE-GGA, optimized geometry)
data_Os3Se
_cell_length_a 2.7308
_cell_length_b 4.7950
_cell_length_c 9.5861
_cell_angle_alpha 90.00
_cell_angle_beta 90.00
_cell_angle_gamma 90.00
_symmetry_space_group_name_H-M 'C m m m'
_symmetry_Int_Tables_number 65
_symmetry_space_group_name_Hall '-C 2 2'
loop_
_atom_site_label
_atom_site_fract_x
_atom_site_fract_y
_atom_site_fract_z
Os1 0.0000 0.0000 0.0000
Os2 0.0000 0.5000 0.2370
Se1 0.0000 0.0000 0.5000
# Fermi-level density of states	1.345	states/eV per atom
# energy	-8.38	eV per atom

# LiAl2Te2 (PBE-GGA, optimized geometry)
data_LiAl2Te2
_cell_length_a 8.1977
_cell_length_b 8.1977
_cell_length_c 3.9975
_cell_angle_alpha 90.00
_cell_angle_beta 90.00
_cell_angle_gamma 90.00
_symmetry_space_group_name_H-M 'P 4/m b m'
_symmetry_Int_Tables_number 127
_symmetry_space_group_name_Hall '-P 4 2ab'
loop_
_atom_site_label
_atom_site_fract_x
_atom_site_fract_y
_atom_site_fract_z
Li1 0.0000 0.0000 0.0000
Al1 0.1099 0.3901 0.5000
Te1 0.2352 0.7352 0.0000
# Fermi-level density of states	0.178	states/eV per atom
# energy	-3.36	eV per atom

# SiGe2CCl (PBE-GGA, optimized geometry)
data_SiGe2CCl
_cell_length_a 5.1728
_cell_length_b 5.1728
_cell_length_c 3.5168
_cell_angle_alpha 90.00
_cell_angle_beta 90.00
_cell_angle_gamma 90.00
_symmetry_space_group_name_H-M 'P 4/m m m'
_symmetry_Int_Tables_number 123
_symmetry_space_group_name_Hall '-P 4 2'
loop_
_atom_site_label
_atom_site_fract_x
_atom_site_fract_y
_atom_site_fract_z
Si1 0.0000 0.0000 0.0000
Ge1 0.0000 0.5000 0.0000
C1 0.0000 0.0000 0.5000
Cl1 0.5000 0.5000 0.5000
# Fermi-level density of states	0.427	states/eV per atom
# energy	-4.36	eV per atom

# LiAg2Os (PBE-GGA, optimized geometry)
data_LiAg2Os
_cell_length_a 2.6899
_cell_length_b 4.8673
_cell_length_c 4.8733
_cell_angle_alpha 90.00
_cell_angle_beta 90.00
_cell_angle_gamma 90.00
_symmetry_space_group_name_H-M 'P m m m'
_symmetry_Int_Tables_number 47
_symmetry_space_group_name_Hall '-P 2 2'
loop_
_atom_site_label
_atom_site_fract_x
_atom_site_fract_y
_atom_site_fract_z
Li1 0.0000 0.0000 0.0000
Ag1 0.0000 0.5000 0.5000
Ag2 0.5000 0.5000 0.0000
Os1 0.5000 0.0000 0.5000
# energy of formation from the pure elements	497	meV/atom
# Fermi-level density of states	0.884	states/eV per atom

# TaHgMo (PBE-GGA, optimized geometry)
data_TaHgMo
_cell_length_a 4.7439
_cell_length_b 4.7439
_cell_length_c 2.7841
_cell_angle_alpha 90.00
_cell_angle_beta 90.00
_cell_angle_gamma 120.00
_symmetry_space_group_name_H-M 'P 3 m 1'
_symmetry_Int_Tables_number 156
_symmetry_space_group_name_Hall 'P 3 -2"'
loop_
_atom_site_label
_atom_site_fract_x
_atom_site_fract_y
_atom_site_fract_z
Ta1 0.0000 0.0000 0.0000
Hg1 0.6667 0.3333 0.3582
Mo1 0.3333 0.6667 0.7121
# energy of formation from the pure elements	416	meV/atom
# Fermi-level density of states	0.620	states/eV per atom

# NaTc3P3 (PBE-GGA, optimized geometry)
data_NaTc3P3
_cell_length_a 6.5858
_cell_length_b 6.5858
_cell_length_c 22.1715
_cell_angle_alpha 90.00
_cell_angle_beta 90.00
_cell_angle_gamma 120.00
_symmetry_space_group_name_H-M 'R -3'
_symmetry_Int_Tables_number 148
_symmetry_space_group_name_Hall '-R 3'
loop_
_atom_site_label
_atom_site_fract_x
_atom_site_fract_y
_atom_site_fract_z
Na1 0.0000 0.0000 0.1609
Tc1 0.0126 0.3753 0.2916
P1 0.0095 0.2931 0.7332
# energy of formation from the pure elements	-305	meV/atom
# Fermi-level density of states	0.449	states/eV per atom

# NpHg2F4 (PBE-GGA, optimized geometry)
data_NpHg2F4
_cell_length_a 4.5298
_cell_length_b 4.5298
_cell_length_c 19.7460
_cell_angle_alpha 90.00
_cell_angle_beta 90.00
_cell_angle_gamma 90.00
_symmetry_space_group_name_H-M 'I 4/m m m'
_symmetry_Int_Tables_number 139
_symmetry_space_group_name_Hall '-I 4 2'
loop_
_atom_site_label
_atom_site_fract_x
_atom_site_fract_y
_atom_site_fract_z
Np1 0.0000 0.0000 0.0000
Hg1 0.0000 0.0000 0.2535
F1 0.0000 0.0000 0.1053
F2 0.0000 0.5000 0.0000
# Fermi-level density of states	1.291	states/eV per atom
# energy	-5.44	eV per atom

# YScInMo2 (PBE-GGA, optimized geometry)
data_YScInMo2
_cell_length_a 4.8498
_cell_length_b 4.8498
_cell_length_c 5.0908
_cell_angle_alpha 90.00
_cell_angle_beta 90.00
_cell_angle_gamma 90.00
_symmetry_space_group_name_H-M 'P 4/m m m'
_symmetry_Int_Tables_number 123
_symmetry_space_group_name_Hall '-P 4 2'
loop_
_atom_site_label
_atom_site_fract_x
_atom_site_fract_y
_atom_site_fract_z
Y1 0.0000 0.0000 0.0000
Sc1 0.0000 0.0000 0.5000
In1 0.5000 0.5000 0.5000
Mo1 0.0000 0.5000 0.0000
# energy of formation from the pure elements	1738	meV/atom
# Fermi-level density of states	1.107	states/eV per atom

# SrAsPt2 (PBE-GGA, optimized geometry)
data_SrAsPt2
_cell_length_a 6.0194
_cell_length_b 6.9107
_cell_length_c 3.8651
_cell_angle_alpha 90.00
_cell_angle_beta 90.00
_cell_angle_gamma 90.00
_symmetry_space_group_name_H-M 'C m m m'
_symmetry_Int_Tables_number 65
_symmetry_space_group_name_Hall '-C 2 2'
loop_
_atom_site_label
_atom_site_fract_x
_atom_site_fract_y
_atom_site_fract_z
Sr1 0.0000 0.0000 0.0000
As1 0.0000 0.5000 0.0000
Pt1 0.2500 0.2500 0.5000
# energy of formation from the pure elements	-309	meV/atom
# Fermi-level density of states	0.473	states/eV per atom